# 1
4
Lattice="-5.543 -0.642 1.138 -1.673 -3.030 4.523 2.792 4.468 -2.164" Properties=species:S:1:pos:R:3 comment="PBE ZnCd2Mo, optimized geometry" spacegroup="No. 71" formation_enthalpy_0k_ev_per_atom=0.379 total_energy_ev_per_atom=-3.10 pbc="T T T"
Cd -0.087 -0.044 0.068
Cd -3.522 -1.792 2.763
Mo -3.180 0.994 0.902
Zn -1.245 -0.200 2.594


# 2
4
Lattice="2.841 0.000 0.000 0.000 4.384 0.000 0.000 0.000 5.807" Properties=species:S:1:pos:R:3 comment="PBE ZnCd2Mo, optimized geometry" spacegroup="No. 47" formation_enthalpy_0k_ev_per_atom=0.397 total_energy_ev_per_atom=-3.09 pbc="T T T"
Cd 0.000 0.000 0.027
Cd 0.000 0.000 2.877
Mo 1.420 2.192 1.452
Zn 1.420 2.192 4.355


# 3
4
Lattice="0.000 3.199 3.199 3.199 0.000 3.199 3.199 3.199 0.000" Properties=species:S:1:pos:R:3 comment="PBE ZnCdMo2, optimized geometry" spacegroup="No. 225" formation_enthalpy_0k_ev_per_atom=0.672 total_energy_ev_per_atom=-5.29 pbc="T T T"
Mo 1.599 1.599 1.599
Mo 4.798 4.798 4.798
Zn 0.000 0.000 0.000
Cd 3.199 3.199 3.199


# 4
4
Lattice="9.654 0.016 0.009 9.221 2.858 0.009 9.221 1.404 2.489" Properties=species:S:1:pos:R:3 comment="PBE Zn2CdMo, optimized geometry" spacegroup="No. 166" formation_enthalpy_0k_ev_per_atom=0.200 total_energy_ev_per_atom=-3.37 pbc="T T T"
Cd 7.024 1.069 0.627
Mo 21.073 3.208 1.881
Zn 0.196 0.030 0.017
Zn 13.853 2.109 1.236


# 5
4
Lattice="-2.777 0.048 0.699 0.973 -0.847 3.925 0.404 5.982 1.191" Properties=species:S:1:pos:R:3 comment="PBE ZnCd2Mo, optimized geometry" spacegroup="No. 25" formation_enthalpy_0k_ev_per_atom=0.340 total_energy_ev_per_atom=-3.14 pbc="T T T"
Cd 0.402 5.948 1.184
Cd -0.795 1.185 2.628
Mo 0.210 3.113 0.620
Zn -0.611 3.911 3.170


# 6
4
Lattice="-3.237 -3.821 -1.473 1.571 -4.913 0.807 -0.325 4.400 2.790" Properties=species:S:1:pos:R:3 comment="PBE Zn2CdMo, optimized geometry" spacegroup="No. 119" formation_enthalpy_0k_ev_per_atom=0.337 total_energy_ev_per_atom=-3.24 pbc="T T T"
Cd -0.833 -4.367 -0.333
Mo -2.197 -1.894 0.492
Zn 0.000 0.000 0.000
Zn 0.207 -2.440 1.632


# 7
4
Lattice="-0.300 -0.160 -2.744 1.268 -2.417 0.439 -7.761 -3.875 1.075" Properties=species:S:1:pos:R:3 comment="PBE Zn2CdMo, optimized geometry" spacegroup="No. 35" formation_enthalpy_0k_ev_per_atom=0.202 total_energy_ev_per_atom=-3.37 pbc="T T T"
Cd -3.882 -1.938 0.538
Mo -5.478 -4.266 -0.326
Zn -0.009 -0.004 0.001
Zn -1.305 -2.182 -0.905


# 8
4
Lattice="-2.003 -1.737 0.583 1.830 -1.940 0.505 0.312 2.561 8.707" Properties=species:S:1:pos:R:3 comment="PBE ZnCdMo2, optimized geometry" spacegroup="No. 99" formation_enthalpy_0k_ev_per_atom=0.301 total_energy_ev_per_atom=-5.66 pbc="T T T"
Cd 0.146 0.072 7.039
Mo 0.002 0.019 0.066
Mo -0.005 -1.170 2.816
Zn 0.151 1.243 4.227


# 9
4
Lattice="10.052 0.016 0.009 9.619 2.916 0.009 9.619 1.434 2.539" Properties=species:S:1:pos:R:3 comment="PBE ZnCd2Mo, optimized geometry" spacegroup="No. 160" formation_enthalpy_0k_ev_per_atom=0.272 total_energy_ev_per_atom=-3.21 pbc="T T T"
Cd 0.133 0.020 0.012
Cd 7.138 1.064 0.623
Mo 14.500 2.162 1.267
Zn 22.163 3.304 1.936


# 10
4
Lattice="-1.481 -2.062 1.108 1.447 -1.346 -1.942 6.447 -1.494 5.838" Properties=species:S:1:pos:R:3 comment="PBE Zn2CdMo, optimized geometry" spacegroup="No. 65" formation_enthalpy_0k_ev_per_atom=0.146 total_energy_ev_per_atom=-3.43 pbc="T T T"
Cd 1.595 -2.077 1.043
Mo 4.818 -2.824 3.962
Zn 6.325 -1.466 5.728
Zn 3.345 -0.775 3.029


# 11
4
Lattice="-2.658 0.352 -3.628 -0.904 -2.527 0.417 -4.590 0.176 3.380" Properties=species:S:1:pos:R:3 comment="PBE ZnCdMo2, optimized geometry" spacegroup="No. 10" formation_enthalpy_0k_ev_per_atom=0.305 total_energy_ev_per_atom=-5.66 pbc="T T T"
Cd -5.450 -1.588 1.034
Mo -0.098 -0.006 0.071
Mo -2.649 -1.170 1.827
Zn -2.703 -0.412 -0.865


# 12
4
Lattice="-0.358 2.074 -1.714 -1.765 -1.735 -1.113 -6.508 3.235 5.276" Properties=species:S:1:pos:R:3 comment="PBE ZnCdMo2, optimized geometry" spacegroup="No. 65" formation_enthalpy_0k_ev_per_atom=0.300 total_energy_ev_per_atom=-5.66 pbc="T T T"
Cd -5.943 2.596 2.543
Mo -0.105 0.052 0.085
Mo -3.149 1.565 2.552
Zn -2.689 0.978 -0.095